(1)
Computed, not measured: LaB3Rh after structural relaxation at the PBE level of DFT.

The space group is Pm-3m (No. 221) and the conventional cell measures 4.144, 4.144 and 4.144 Å, with angles of 90.00, 90.00 and 90.00 degrees. Symmetry generates all atoms from La at (0.000, 0.000, 0.000), B at (0.000, 0.500, 0.500) and Rh at (0.500, 0.500, 0.500).

For the distance to the lowest polymorph of the same formula, the calculation gives 0 meV/atom.

***

(2)
Computed, not measured: Ta3Ti4 after structural relaxation at the PBE level of DFT.

The space group is P6_3/m (No. 176) and the conventional cell measures 7.7441, 7.7441 and 4.8158 Å, with angles of 90.00, 90.00 and 120.00 degrees. Symmetry generates all atoms from Ta at (0.0545, 0.8113, 0.2500), Ti at (0.0959, 0.6148, 0.7500) and Ti at (0.3333, 0.6667, 0.2500).

As for the total energy: -9.442 eV per atom.

***

(3)
Computed, not measured: Sn2HgRhI after structural relaxation at the PBE level of DFT.

The space group is P4/mmm (No. 123) and the conventional cell measures 5.156, 5.156 and 5.390 Å, with angles of 90.00, 90.00 and 90.00 degrees. Symmetry generates all atoms from Sn at (0.000, 0.500, 0.000), Hg at (0.000, 0.000, 0.500), Rh at (0.000, 0.000, 0.000) and I at (0.500, 0.500, 0.500).

The uncorrected formation energy comes out at -0.99 eV per formula unit. For the distance to the lowest polymorph of the same formula, the calculation gives 0 meV/atom.

***

(4)
Computed, not measured: ZrPaTlO6 after structural relaxation at the PBE level of DFT.

The space group is P312 (No. 149) and the conventional cell measures 5.5506, 5.5506 and 4.8951 Å, with angles of 90.00, 90.00 and 120.00 degrees. Symmetry generates all atoms from Zr at (0.0000, 0.0000, 0.0000), Pa at (0.3333, 0.6667, 0.5000), Tl at (0.6667, 0.3333, 0.0000) and O at (0.0181, 0.3287, 0.2435).

The uncorrected formation energy comes out at -23.34 eV per formula unit.

***

(5)
Computed, not measured: K4Zn3AuF12 after structural relaxation at the PBE level of DFT.

The space group is Im-3m (No. 229) and the conventional cell measures 8.462, 8.462 and 8.462 Å, with angles of 90.00, 90.00 and 90.00 degrees. Symmetry generates all atoms from K at (0.250, 0.250, 0.250), Zn at (0.000, 0.000, 0.500), Au at (0.000, 0.000, 0.000), F at (0.000, 0.000, 0.267) and F at (0.000, 0.250, 0.500).

The uncorrected formation energy comes out at -45.87 eV per formula unit.

***

(6)
Computed, not measured: PaTc2Bi after structural relaxation at the PBE level of DFT.

The space group is P4/mmm (No. 123) and the conventional cell measures 4.647, 4.647 and 3.619 Å, with angles of 90.00, 90.00 and 90.00 degrees. Symmetry generates all atoms from Pa at (0.000, 0.000, 0.000), Tc at (0.000, 0.500, 0.500) and Bi at (0.500, 0.500, 0.000).

For the distance to the lowest polymorph of the same formula, the calculation gives 0 meV/atom.

***

(7)
Computed, not measured: Ba3In7Ga4 after structural relaxation at the PBE level of DFT.

The space group is C2/m (No. 12) and the conventional cell measures 18.232, 4.813 and 11.135 Å, with angles of 90.00, 126.02 and 90.00 degrees. Symmetry generates all atoms from Ba at (0.000, 0.000, 0.000), Ba at (0.184, 0.500, 0.692), In at (0.000, 0.000, 0.500), In at (0.005, 0.500, 0.288), In at (0.161, 0.000, 0.428), In at (0.171, 0.500, 0.033), Ga at (0.141, 0.000, 0.867) and Ga at (0.158, 0.500, 0.278).

As for the total energy: -3.002 eV per atom.

***

(8)
Computed, not measured: Ho13Hg2 after structural relaxation at the PBE level of DFT.

The space group is P-1 (No. 2) and the conventional cell measures 6.612, 8.518 and 8.786 Å, with angles of 66.56, 79.20 and 82.19 degrees. Symmetry generates all atoms from Ho at (0.000, 0.000, 0.000), Ho at (0.120, 0.478, 0.734), Ho at (0.203, 0.232, 0.149), Ho at (0.249, 0.941, 0.580), Ho at (0.302, 0.653, 0.972), Ho at (0.369, 0.410, 0.389), Ho at (0.500, 0.145, 0.796) and Hg at (0.058, 0.772, 0.380).

As for the total energy: -4.097 eV per atom.

***

(9)
Computed, not measured: ReTePb after structural relaxation at the PBE level of DFT.

The space group is P-6m2 (No. 187) and the conventional cell measures 4.7077, 4.7077 and 3.5797 Å, with angles of 90.00, 90.00 and 120.00 degrees. Symmetry generates all atoms from Re at (0.0000, 0.0000, 0.0000), Te at (0.6667, 0.3333, 0.0000) and Pb at (0.3333, 0.6667, 0.5000).

The uncorrected formation energy comes out at 2.59 eV per formula unit. For the distance to the lowest polymorph of the same formula, the calculation gives 430 meV/atom.

***

(10)
Computed, not measured: Mn2NiHg after structural relaxation at the PBE level of DFT.

The space group is P4/mmm (No. 123) and the conventional cell measures 3.001, 3.001 and 6.840 Å, with angles of 90.00, 90.00 and 90.00 degrees. Symmetry generates all atoms from Mn at (0.000, 0.000, 0.210), Ni at (0.500, 0.500, 0.000) and Hg at (0.500, 0.500, 0.500).

As for the total energy: -5.934 eV per atom.

***

(11)
Computed, not measured: Ba2TlTe2 after structural relaxation at the PBE level of DFT.

The space group is P4/mbm (No. 127) and the conventional cell measures 9.383, 9.383 and 4.538 Å, with angles of 90.00, 90.00 and 90.00 degrees. Symmetry generates all atoms from Ba at (0.153, 0.347, 0.000), Tl at (0.000, 0.000, 0.500) and Te at (0.151, 0.651, 0.500).

The uncorrected formation energy comes out at -6.32 eV per formula unit. For the distance to the lowest polymorph of the same formula, the calculation gives 0 meV/atom.